Arrangement a

DFT (PBE) results for GePPb2 after structural relaxation.

Cell lengths 7.3068, 7.3068, 7.3068 Å; angles 90.00, 90.00, 90.00 degrees
Space group Fm-3m (No. 225)
Asymmetric unit:
Ge1 0.0000 0.0000 0.0000 (multiplicity 4)
P1 0.0000 0.0000 0.5000 (multiplicity 4)
Pb1 0.2500 0.2500 0.2500 (multiplicity 8)


Arrangement b

DFT (PBE) results for GePPb2 after structural relaxation.

Cell lengths 6.4238, 6.4238, 12.9773 Å; angles 90.00, 90.00, 90.00 degrees
Space group I-42d (No. 122)
Asymmetric unit:
Ge1 0.0000 0.0000 0.0000 (multiplicity 4)
P1 0.0000 0.0000 0.5000 (multiplicity 4)
Pb1 0.2418 0.2500 0.6250 (multiplicity 8)


Stability check: which of them is most stable? arrangement b.


Arrangement a

DFT (PBE) results for Ge3PPd after structural relaxation.

Cell lengths 4.6840, 4.6840, 4.6840 Å; angles 90.00, 90.00, 90.00 degrees
Space group Pm-3m (No. 221)
Asymmetric unit:
Ge1 0.0000 0.0000 0.5000 (multiplicity 3)
P1 0.0000 0.0000 0.0000 (multiplicity 1)
Pd1 0.5000 0.5000 0.5000 (multiplicity 1)


Arrangement b

DFT (PBE) results for Ge3PPd after structural relaxation.

Cell lengths 4.8134, 4.8134, 4.8134 Å; angles 90.00, 90.00, 90.00 degrees
Space group Pm-3m (No. 221)
Asymmetric unit:
Ge1 0.0000 0.0000 0.5000 (multiplicity 3)
P1 0.5000 0.5000 0.5000 (multiplicity 1)
Pd1 0.0000 0.0000 0.0000 (multiplicity 1)


Stability check: which of them is most stable? arrangement b.


Arrangement a

DFT (PBE) results for Pm4Ge2P after structural relaxation.

Cell lengths 6.6726, 6.3571, 9.3936 Å; angles 90.00, 109.38, 90.00 degrees
Space group P2_1/m (No. 11)
Asymmetric unit:
Pm1 0.0142 0.0055 0.2578 (multiplicity 4)
Pm2 0.4129 0.2500 0.0606 (multiplicity 2)
Pm3 0.4523 0.2500 0.6452 (multiplicity 2)
Ge1 0.1977 0.7500 0.0441 (multiplicity 2)
Ge2 0.2276 0.7500 0.5612 (multiplicity 2)
P1 0.3882 0.2500 0.3429 (multiplicity 2)


Arrangement b

DFT (PBE) results for Pm4Ge2P after structural relaxation.

Cell lengths 5.2254, 5.2254, 15.6309 Å; angles 90.00, 90.00, 90.00 degrees
Space group I4/mmm (No. 139)
Asymmetric unit:
Pm1 0.0000 0.0000 0.1798 (multiplicity 4)
Pm2 0.0000 0.5000 0.0000 (multiplicity 4)
Ge1 0.0000 0.0000 0.3701 (multiplicity 4)
P1 0.0000 0.0000 0.0000 (multiplicity 2)


Stability check: which of them is most stable? arrangement a.


Arrangement a

DFT (PBE) results for PrGeP2 after structural relaxation.

Cell lengths 5.2689, 5.2658, 6.8441 Å; angles 90.00, 111.83, 90.00 degrees
Space group C2 (No. 5)
Asymmetric unit:
Pr1 0.0000 0.0000 0.0000 (multiplicity 2)
Ge1 0.0000 0.7530 0.5000 (multiplicity 2)
P1 0.1217 0.4987 0.2471 (multiplicity 4)


Arrangement b

DFT (PBE) results for PrGeP2 after structural relaxation.

Cell lengths 4.4669, 4.4669, 21.6343 Å; angles 90.00, 90.00, 120.00 degrees
Space group R-3m (No. 166, hexagonal axes)
Asymmetric unit:
Pr1 0.0000 0.0000 0.0000 (multiplicity 3)
Ge1 0.0000 0.0000 0.5000 (multiplicity 3)
P1 0.0000 0.0000 0.3988 (multiplicity 6)


Stability check: which of them is most stable? arrangement a.